[1]
Computed, not measured: a geometry-optimized Pr6DyAg2 structure at the PBE level of DFT.

The total energy is -4.435 eV/atom. For the formation energy, the calculation gives -0.104 eV per atom. For the density of states at the Fermi level, the calculation gives 11.69 states/eV/f.u. As for the total magnetization: 0.000 μB per formula unit.

It has space group C2/m (No. 12), with a = 12.940 Å, b = 3.774 Å, c = 12.241 Å, α = 90.00°, β = 108.28° and γ = 90.00°. The inequivalent atoms are Pr at (0.026, 0.000, 0.333), Pr at (0.187, 0.500, 0.877), Pr at (0.189, 0.500, 0.592), Dy at (0.000, 0.000, 0.000) and Ag at (0.137, 0.500, 0.187).

[2]
Computed, not measured: a geometry-optimized ThScZnGa structure at the PBE level of DFT.

The total energy is -4.901 eV/atom. For the formation energy, the calculation gives -0.388 eV per atom. For the density of states at the Fermi level, the calculation gives 1.04 states/eV/f.u. As for the total magnetization: 0.000 μB per formula unit.

It has space group F-43m (No. 216), with a = 7.082 Å, b = 7.082 Å, c = 7.082 Å, α = 90.00°, β = 90.00° and γ = 90.00°. The inequivalent atoms are Th at (0.000, 0.000, 0.000), Sc at (0.000, 0.000, 0.500), Zn at (0.250, 0.250, 0.250) and Ga at (0.250, 0.250, 0.750).

[3]
Computed, not measured: a geometry-optimized Cs2CaPbI6 structure at the PBE level of DFT.

The total energy is -2.958 eV/atom. For the density of states at the Fermi level, the calculation gives 0.00 states/eV/f.u. As for the formation energy (no corrections): -1241 kJ/mol of formula units. As for the total magnetization: 0.000 μB per formula unit. For the energy above the most stable polymorph in this dataset, the calculation gives 0.203 eV per formula unit.

It has space group Fm-3m (No. 225), with a = 12.632 Å, b = 12.632 Å, c = 12.632 Å, α = 90.00°, β = 90.00° and γ = 90.00°. The inequivalent atoms are Cs at (0.250, 0.250, 0.250), Ca at (0.000, 0.000, 0.000), Pb at (0.000, 0.000, 0.500) and I at (0.000, 0.000, 0.246).

[4]
Computed, not measured: a geometry-optimized HfZnSe2 structure at the PBE level of DFT.

The total energy is -5.343 eV/atom. For the density of states at the Fermi level, the calculation gives 0.49 states/eV/f.u. As for the formation energy (no corrections): -306 kJ/mol of formula units. As for the total magnetization: 0.000 μB per formula unit.

It has space group R-3m (No. 166, hexagonal axes), with a = 3.7180 Å, b = 3.7180 Å, c = 28.2895 Å, α = 90.00°, β = 90.00° and γ = 120.00°. The inequivalent atoms are Hf at (0.0000, 0.0000, 0.0000), Zn at (0.0000, 0.0000, 0.5000) and Se at (0.0000, 0.0000, 0.3900).

[5]
Computed, not measured: a geometry-optimized CaYZnIr structure at the PBE level of DFT.

The total energy is -5.070 eV/atom. For the formation energy, the calculation gives -0.420 eV per atom. For the density of states at the Fermi level, the calculation gives 3.60 states/eV/f.u. As for the total magnetization: 0.000 μB per formula unit.

It has space group F-43m (No. 216), with a = 6.992 Å, b = 6.992 Å, c = 6.992 Å, α = 90.00°, β = 90.00° and γ = 90.00°. The inequivalent atoms are Ca at (0.000, 0.000, 0.000), Y at (0.000, 0.000, 0.500), Zn at (0.250, 0.250, 0.750) and Ir at (0.250, 0.250, 0.250).